1.
Tl2CuAu2 | PBE | relaxed

abc: 6.989 6.989 4.631
angles: 90.00 90.00 90.00
Fractional coordinates of all 10 atoms:
Tl  0.171  0.671  0.500
Tl  0.671  0.829  0.500
Tl  0.829  0.329  0.500
Tl  0.329  0.171  0.500
Au  0.352  0.852  0.000
Au  0.852  0.648  0.000
Au  0.648  0.148  0.000
Au  0.148  0.352  0.000
Cu  0.000  0.000  0.000
Cu  0.500  0.500  0.000

Calculated values
SG: P4/mbm (127)

***

2.
FeTeIN2 | PBE | relaxed

abc: 3.987 3.987 7.631
angles: 90.00 90.00 90.00
Fractional coordinates of all 5 atoms:
I  0.000  0.000  0.500
Te  0.000  0.000  0.000
Fe  0.500  0.500  0.500
N  0.000  0.500  0.000
N  0.500  0.000  0.000

Calculated values
ΔE_f (raw): 1.619 eV/atom
SG: P4/mmm (123)

***

3.
CeYTm4 | PBE | relaxed

abc: 6.335 8.923 8.358
angles: 112.91 100.11 112.41
Fractional coordinates of all 12 atoms:
Ce  0.246  0.996  0.992
Ce  0.754  0.004  0.008
Y  0.340  0.590  0.180
Y  0.660  0.410  0.820
Tm  0.040  0.170  0.748
Tm  0.749  0.714  0.618
Tm  0.208  0.578  0.748
Tm  0.369  0.903  0.618
Tm  0.631  0.097  0.382
Tm  0.792  0.422  0.252
Tm  0.251  0.286  0.382
Tm  0.960  0.830  0.252

Calculated values
SG: C2/c (15)

***

4.
Ba3NaLi8 | PBE | relaxed

abc: 6.491 6.491 11.319
angles: 73.34 73.34 60.00
Fractional coordinates of all 12 atoms:
Ba  0.375  0.375  0.875
Ba  0.997  0.997  0.010
Ba  0.503  0.503  0.490
Na  0.875  0.875  0.376
Li  0.944  0.432  0.191
Li  0.439  0.938  0.684
Li  0.432  0.432  0.191
Li  0.938  0.938  0.684
Li  0.189  0.189  0.433
Li  0.686  0.686  0.941
Li  0.432  0.944  0.191
Li  0.938  0.439  0.684

Calculated values
SG: R3m (160)

***

5.
ZrIr3 | PBE | relaxed

abc: 4.533 4.533 4.533
angles: 60.00 60.00 60.00
Fractional coordinates of all 4 atoms:
Ir  0.000  0.000  0.000
Ir  0.500  0.500  0.500
Ir  0.750  0.750  0.750
Zr  0.250  0.250  0.250

Calculated values
SG: Fm-3m (225)

***

6.
LiMgFeH6 | PBE | relaxed

abc: 4.600 4.600 7.728
angles: 90.00 90.00 120.00
Fractional coordinates of all 18 atoms:
Li  0.333  0.667  0.250
Li  0.667  0.333  0.750
Mg  0.000  0.000  0.000
Mg  0.000  0.000  0.500
Fe  0.667  0.333  0.250
Fe  0.333  0.667  0.750
H  0.662  0.618  0.138
H  0.956  0.338  0.138
H  0.338  0.956  0.638
H  0.044  0.662  0.862
H  0.382  0.338  0.362
H  0.956  0.618  0.362
H  0.618  0.956  0.862
H  0.662  0.044  0.362
H  0.044  0.382  0.638
H  0.382  0.044  0.138
H  0.618  0.662  0.638
H  0.338  0.382  0.862

Calculated values
SG: P-31c (163)

***

7.
Hf3GaF | PBE | relaxed

abc: 4.474 4.474 4.474
angles: 90.00 90.00 90.00
Fractional coordinates of all 5 atoms:
Hf  0.000  0.500  0.000
Hf  0.000  0.000  0.500
Hf  0.500  0.000  0.000
Ga  0.500  0.500  0.500
F  0.000  0.000  0.000

Calculated values
ΔE_f (raw): -0.444 eV/atom
SG: Pm-3m (221)

***

8.
La2TbSm6Tm | PBE | relaxed

abc: 10.010 8.860 8.860
angles: 117.99 95.18 95.18
Fractional coordinates of all 20 atoms:
La  0.459  0.806  0.707
La  0.041  0.293  0.194
La  0.541  0.194  0.293
La  0.959  0.707  0.806
Tb  0.250  0.987  0.013
Tb  0.750  0.013  0.987
Sm  0.056  0.123  0.741
Sm  0.444  0.259  0.877
Sm  0.944  0.877  0.259
Sm  0.556  0.741  0.123
Sm  0.311  0.981  0.419
Sm  0.189  0.581  0.019
Sm  0.689  0.019  0.581
Sm  0.811  0.419  0.981
Sm  0.121  0.705  0.499
Sm  0.379  0.501  0.295
Sm  0.879  0.295  0.501
Sm  0.621  0.499  0.705
Tm  0.250  0.405  0.595
Tm  0.750  0.595  0.405

Calculated values
SG: C2/c (15)

***

For reference, VASP energy by record: -2.9485, -4.3420, -4.8880, -1.8282, -8.8749, -3.6419, -7.3955, -4.6113 eV/atom.